No. 1
A plane-wave DFT calculation with PBE was carried out for CdOsRu2Br after structural relaxation.

Summary:
For the formation energy (no corrections), the calculation gives 2.72 eV per atom. The symmetry is P4/mmm. The value obtained for the uncorrected energy is -3.7555 eV/atom.

Lattice parameters (Å, degrees): 5.050 5.050 4.951 90.00 90.00 90.00
Element x y z (fractional)
Cd (0.000, 0.000, 0.000)
Os (0.500, 0.500, 0.500)
Ru (0.000, 0.500, 0.000)
Ru (0.500, 0.000, 0.000)
Br (0.000, 0.000, 0.500)

No. 2
A plane-wave DFT calculation with PBE was carried out for Sm2AlSnPt6 after structural relaxation.

Summary:
As for the formation energy from the elements: -0.82 eV/atom. The symmetry is P-1. The value obtained for the uncorrected energy is -6.1671 eV/atom.

Lattice parameters (Å, degrees): 5.542 6.556 6.658 74.91 66.16 65.74
Element x y z (fractional)
Sm (0.011, 0.236, 0.243)
Sm (0.989, 0.764, 0.757)
Al (0.500, 0.000, 0.500)
Sn (0.500, 0.500, 0.000)
Pt (0.008, 0.210, 0.765)
Pt (0.355, 0.413, 0.427)
Pt (0.499, 0.185, 0.799)
Pt (0.501, 0.815, 0.201)
Pt (0.645, 0.587, 0.573)
Pt (0.992, 0.790, 0.235)

No. 3
A plane-wave DFT calculation with PBE was carried out for ScAlOsAu after structural relaxation.

Summary:
As for the formation energy from the elements: -0.43 eV/atom. The symmetry is F-43m. The value obtained for the uncorrected energy is -6.5760 eV/atom.

Lattice parameters (Å, degrees): 4.522 4.522 4.522 60.00 60.00 60.00
Element x y z (fractional)
Sc (0.000, 0.000, 0.000)
Al (0.500, 0.500, 0.500)
Os (0.250, 0.250, 0.250)
Au (0.750, 0.750, 0.750)

| no. | calculated density (Mg/m³) |
| --- | --- |
| 1 | 7.69 |
| 2 | 13.40 |
| 3 | 11.66 |